(1)
Cr2RhBr | Alexandria via LeMat-Bulk | PBE | relaxed; calculated total energy = -6.299 eV/atom; polymorph energy (0 for the lowest one) = 437.0 meV/atom; formation energy from raw total energies = 0.7685 eV/atom
1.0
3.784 0.000 0.000
0.000 3.784 0.000
0.000 0.000 9.359
Cr Rh Br
4 2 2
direct
0.000 0.000 0.000
0.000 0.500 0.250
0.500 0.000 0.750
0.500 0.500 0.500
0.000 0.500 0.750
0.500 0.000 0.250
0.000 0.000 0.500
0.500 0.500 0.000

---

(2)
KLi2MgAu | Alexandria via LeMat-Bulk | PBE | relaxed; calculated total energy = -2.127 eV/atom; energy relative to the elements = -0.1679 eV/atom
1.0
5.202 0.000 0.000
0.000 5.202 0.000
0.000 0.000 5.259
K Li Mg Au
1 2 1 1
direct
0.000 0.000 0.000
0.000 0.500 0.500
0.500 0.000 0.500
0.500 0.500 0.000
0.500 0.500 0.500

---

(3)
USnRh | Alexandria via LeMat-Bulk | PBE | relaxed; calculated total energy = -8.004 eV/atom; energy relative to the elements = -0.4566 eV/atom
1.0
7.327 0.000 0.000
-3.664 6.346 0.000
0.000 0.000 4.084
U Sn Rh
3 3 3
direct
0.000 0.420 0.000
0.420 0.000 0.000
0.580 0.580 0.000
0.000 0.748 0.500
0.252 0.252 0.500
0.748 0.000 0.500
0.000 0.000 0.000
0.333 0.667 0.500
0.667 0.333 0.500